Computed, not measured: crystalline KRbNa3 at its relaxed geometry at the PBE level of DFT.

Fermi-level density of states = 0.723 states/eV/atom
SG = No. 11
energy of formation from the pure elements = 0.03 eV/atom
uncorrected energy = -1.1714 eV/atom
energy relative to the lowest polymorph listed for this composition = 2 meV/atom
size of the total moment = 0.00 μB/cell

Lattice parameters (Å, degrees): 7.927 6.443 11.437 90.00 114.22 90.00
Atoms (fractional coordinates):
Na: 0.599 0.250 0.271
Na: 0.886 0.750 0.442
Na: 0.401 0.750 0.729
Na: 0.398 0.250 0.911
Na: 0.114 0.250 0.558
Na: 0.602 0.750 0.089
K: 0.658 0.250 0.638
K: 0.342 0.750 0.362
Rb: 0.013 0.750 0.864
Rb: 0.987 0.250 0.136